# 1
VASP calculation (PBE) on a relaxed Cs4GaBi4 crystal.

Cell and atoms, written as POSCAR:
```
Cs4GaBi4
1.0
-3.931 3.931 8.133
3.931 -3.931 8.133
3.931 3.931 -8.133
Cs Ga Bi
4 1 4
Direct
0.187 0.187 0.621
0.435 0.813 0.000
0.565 0.565 0.379
0.813 0.435 0.000
0.000 0.000 0.000
0.003 0.719 0.000
0.281 0.281 0.284
0.719 0.003 0.000
0.997 0.997 0.716
```

Output
E_tot, eV per atom: -2.62
ΔH_f (0 K), eV per atom: -0.176


# 2
VASP calculation (PBE) on a relaxed Y5Er12Tm2 crystal.

Cell and atoms, written as POSCAR:
```
Y5Er12Tm2
1.0
7.876 -4.536 0.000
7.876 4.536 0.000
-0.169 0.000 8.448
Y Er Tm
5 12 2
Direct
0.000 0.000 0.000
0.234 0.234 0.074
0.301 0.301 0.492
0.699 0.699 0.508
0.766 0.766 0.926
0.028 0.663 0.255
0.092 0.092 0.388
0.180 0.568 0.837
0.337 0.972 0.745
0.432 0.820 0.163
0.444 0.444 0.165
0.556 0.556 0.835
0.568 0.180 0.837
0.663 0.028 0.255
0.820 0.432 0.163
0.908 0.908 0.612
0.972 0.337 0.745
0.322 0.678 0.500
0.678 0.322 0.500
```

Output
E_tot, eV per atom: -4.93
Distance to the lowest polymorph of the same formula, meV/atom: 28
ΔH_f (0 K), eV per atom: 0.122


# 3
VASP calculation (PBE) on a relaxed TlPd2Pb3 crystal.

Cell and atoms, written as POSCAR:
```
TlPd2Pb3
1.0
7.434 -2.246 0.000
7.434 2.246 0.000
-6.587 0.000 9.097
Tl Pd Pb
2 4 6
Direct
0.147 0.147 0.238
0.853 0.853 0.762
0.221 0.221 0.551
0.223 0.223 0.055
0.777 0.777 0.945
0.779 0.779 0.449
0.149 0.149 0.741
0.424 0.424 0.069
0.425 0.425 0.569
0.575 0.575 0.431
0.576 0.576 0.931
0.851 0.851 0.259
```

Output
E_tot, eV per atom: -4.12
ΔH_f (0 K), eV per atom: -0.138


# 4
VASP calculation (PBE) on a relaxed Ti3CoSe crystal.

Cell and atoms, written as POSCAR:
```
Ti3CoSe
1.0
4.588 0.000 0.000
0.000 4.588 0.000
0.000 0.000 4.588
Ti Co Se
3 1 1
Direct
0.000 0.000 0.500
0.000 0.500 0.000
0.500 0.000 0.000
0.500 0.500 0.500
0.000 0.000 0.000
```

Output
E_tot, eV per atom: -6.42
Distance to the lowest polymorph of the same formula, meV/atom: 397
ΔE_f (raw), meV/atom: 434


# 5
VASP calculation (PBE) on a relaxed LaHo3Co crystal.

Cell and atoms, written as POSCAR:
```
LaHo3Co
1.0
5.302 0.000 0.000
0.000 5.302 0.000
0.000 0.000 5.302
La Ho Co
1 3 1
Direct
0.000 0.000 0.000
0.000 0.500 0.500
0.500 0.000 0.500
0.500 0.500 0.000
0.500 0.500 0.500
```

Output
E_tot, eV per atom: -5.20
Distance to the lowest polymorph of the same formula, meV/atom: 64
ΔH_f (0 K), eV per atom: -0.048


# 6
VASP calculation (PBE) on a relaxed Ho2CdPb2 crystal.

Cell and atoms, written as POSCAR:
```
Ho2CdPb2
1.0
5.051 0.000 0.000
-2.525 4.374 0.000
0.000 0.000 12.647
Ho Cd Pb
4 2 4
Direct
0.333 0.667 0.102
0.333 0.667 0.398
0.667 0.333 0.602
0.667 0.333 0.898
0.000 0.000 0.250
0.000 0.000 0.750
0.000 0.000 0.000
0.000 0.000 0.500
0.333 0.667 0.750
0.667 0.333 0.250
```

Output
E_tot, eV per atom: -3.81
ΔH_f (0 K), eV per atom: -0.311


# 7
VASP calculation (PBE) on a relaxed TcWAu2 crystal.

Cell and atoms, written as POSCAR:
```
TcWAu2
1.0
4.853 -1.404 0.000
4.853 1.404 0.000
-0.809 0.000 4.810
Tc W Au
1 1 2
Direct
0.000 0.000 0.000
0.500 0.500 0.500
0.250 0.250 0.750
0.750 0.750 0.250
```

Output
E_tot, eV per atom: -7.07
Distance to the lowest polymorph of the same formula, meV/atom: 139
ΔH_f (0 K), eV per atom: 0.395


# 8
VASP calculation (PBE) on a relaxed HfTaAu crystal.

Cell and atoms, written as POSCAR:
```
HfTaAu
1.0
3.484 0.000 0.000
0.000 3.484 0.000
0.000 0.000 9.456
Hf Ta Au
2 2 2
Direct
0.250 0.250 0.241
0.750 0.750 0.759
0.250 0.250 0.575
0.750 0.750 0.425
0.250 0.250 0.913
0.750 0.750 0.087
```

Output
E_tot, eV per atom: -8.69
Distance to the lowest polymorph of the same formula, meV/atom: 0
ΔH_f (0 K), eV per atom: -0.333